TcRhO2F | PBE-GGA | relaxed

Cell: 3.9698 3.9698 4.1632 Å, 90.00 90.00 90.00°
Last column: magnetic moment on the atom in μB.
Sites, in units of the cell vectors:
Rh 0.0000 0.0000 0.0000  -0.68
Tc 0.5000 0.5000 0.5000  4.04
O 0.0000 0.5000 0.0000  -0.01
O 0.5000 0.0000 0.0000  -0.01
F 0.0000 0.0000 0.5000  0.04

- VASP energy: -5.9137 eV/atom


TcRh2OF | PBE-GGA | relaxed

Cell: 4.7842 3.7225 4.7842 Å, 90.00 90.00 90.00°
Last column: magnetic moment on the atom in μB.
Sites, in units of the cell vectors:
Rh 0.0000 0.0000 0.5000  0.20
Rh 0.5000 0.0000 0.0000  0.15
Tc 0.0000 0.0000 0.0000  0.00
O 0.0000 0.5000 0.0000  -0.01
F 0.5000 0.5000 0.5000  0.03

- VASP energy: -6.0015 eV/atom


TcRhO2F | PBE-GGA | relaxed

Cell: 3.8284 3.8284 4.3297 Å, 90.00 90.00 90.00°
Last column: magnetic moment on the atom in μB.
Sites, in units of the cell vectors:
Rh 0.5000 0.5000 0.5000  -1.62
Tc 0.0000 0.0000 0.0000  0.10
O 0.0000 0.5000 0.0000  -0.04
O 0.5000 0.0000 0.0000  -0.04
F 0.0000 0.0000 0.5000  -0.02

- VASP energy: -6.3751 eV/atom


TeRhO2F | PBE-GGA | relaxed

Cell: 4.0632 4.0632 4.0969 Å, 90.00 90.00 90.00°
Sites, in units of the cell vectors:
Te 0.5000 0.5000 0.5000
Rh 0.0000 0.0000 0.0000
O 0.0000 0.5000 0.0000
O 0.5000 0.0000 0.0000
F 0.0000 0.0000 0.5000

- VASP energy: -4.7180 eV/atom


TeRhO2F | PBE-GGA | relaxed

Cell: 4.2106 4.2106 4.3444 Å, 90.00 90.00 90.00°
Last column: magnetic moment on the atom in μB.
Sites, in units of the cell vectors:
Te 0.0000 0.0000 0.0000  -0.01
Rh 0.5000 0.5000 0.5000  1.64
O 0.0000 0.5000 0.0000  0.08
O 0.5000 0.0000 0.0000  0.08
F 0.0000 0.0000 0.5000  -0.01

- VASP energy: -4.6186 eV/atom


TeRhO2F | PBE-GGA | relaxed

Cell: 3.7543 5.7696 3.7543 Å, 90.00 90.00 90.00°
Last column: magnetic moment on the atom in μB.
Sites, in units of the cell vectors:
Te 0.0000 0.5000 0.0000  0.03
Rh 0.0000 0.0000 0.0000  0.28
O 0.0000 0.0000 0.5000  0.06
O 0.5000 0.0000 0.0000  0.21
F 0.5000 0.5000 0.5000  0.00

- VASP energy: -4.8564 eV/atom


TiRhOF2 | PBE-GGA | relaxed

Cell: 4.2450 4.2450 3.8527 Å, 90.00 90.00 90.00°
Sites, in units of the cell vectors:
F 0.0000 0.5000 0.0000
F 0.5000 0.0000 0.0000
Rh 0.0000 0.0000 0.0000
O 0.0000 0.0000 0.5000
Ti 0.5000 0.5000 0.5000

- VASP energy: -5.3940 eV/atom


TiRhOF2 | PBE-GGA | relaxed

Cell: 4.0338 4.0338 3.8722 Å, 90.00 90.00 90.00°
Last column: magnetic moment on the atom in μB.
Sites, in units of the cell vectors:
F 0.0000 0.5000 0.0000  0.00
F 0.5000 0.0000 0.0000  0.00
Rh 0.5000 0.5000 0.5000  1.44
O 0.0000 0.0000 0.5000  0.09
Ti 0.0000 0.0000 0.0000  -0.56

- VASP energy: -6.4360 eV/atom


| no. | formation energy from raw total energies (meV/atom) |
| --- | --- |
| 1 | -12.7 |
| 2 | 378.1 |
| 3 | -474.1 |
| 4 | -261.9 |
| 5 | -162.5 |
| 6 | -400.2 |
| 7 | -604.6 |
| 8 | -1646.5 |